Compound: Fe5O3F7
Source: Alexandria
Functional: PBE+U
Structure: optimized geometry

ρ = 4.26 Mg/m³
Final energy = -173.0 eV/cell
Energy above the lowest structure with this stoichiometry = 0.73 eV per formula unit

```
data_Fe5O3F7
_cell_length_a 4.784
_cell_length_b 4.789
_cell_length_c 15.652
_cell_angle_alpha 90.08
_cell_angle_beta 90.02
_cell_angle_gamma 90.82
_symmetry_space_group_name_H-M 'P 1'
_symmetry_Int_Tables_number 1
_symmetry_space_group_name_Hall 'P 1'
loop_
_atom_site_label
_atom_site_type_symbol
_atom_site_fract_x
_atom_site_fract_y
_atom_site_fract_z
Fe1 Fe 0.000 0.000 0.000
Fe2 Fe 0.000 0.002 0.796
Fe3 Fe 0.440 0.524 0.504
Fe4 Fe 0.455 0.456 0.898
Fe5 Fe 0.470 0.477 0.098
Fe6 Fe 0.476 0.477 0.698
Fe7 Fe 0.499 0.447 0.294
Fe8 Fe 0.928 0.948 0.206
Fe9 Fe 0.946 0.950 0.593
Fe10 Fe 0.967 0.981 0.401
O1 O 0.145 0.785 0.493
O2 O 0.298 0.300 0.000
O3 O 0.300 0.297 0.796
O4 O 0.643 0.661 0.601
O5 O 0.660 0.660 0.190
O6 O 0.789 0.144 0.302
F1 F 0.164 0.771 0.105
F2 F 0.166 0.762 0.300
F3 F 0.174 0.764 0.698
F4 F 0.195 0.783 0.898
F5 F 0.257 0.252 0.190
F6 F 0.257 0.275 0.599
F7 F 0.268 0.284 0.404
F8 F 0.656 0.679 0.403
F9 F 0.681 0.684 0.997
F10 F 0.684 0.683 0.799
F11 F 0.744 0.193 0.490
F12 F 0.765 0.171 0.694
F13 F 0.768 0.168 0.104
F14 F 0.782 0.197 0.898
```